1.
The following is a DFT calculation (PBE) of an optimized crystal structure of NaSCl2F.

a = 5.110 Å, b = 5.110 Å, c = 5.942 Å
α = 90.00°, β = 90.00°, γ = 90.00°
Fractional positions:
Na1 0.000 0.000 0.000
S1 0.000 0.000 0.500
Cl1 0.000 0.500 0.000
Cl2 0.500 0.000 0.000
F1 0.500 0.500 0.500

- ΔE_f (raw): 0.1887 eV/atom
- Polymorph energy (0 for the lowest one): 2.75 eV/f.u.


2.
The following is a DFT calculation (PBE) of an optimized crystal structure of NaS2ClF.

a = 4.143 Å, b = 4.143 Å, c = 6.810 Å
α = 90.00°, β = 90.00°, γ = 90.00°
Fractional positions:
Na1 0.000 0.000 0.000
S1 0.000 0.500 0.500
S2 0.500 0.000 0.500
Cl1 0.500 0.500 0.000
F1 0.500 0.500 0.500

- ΔE_f (raw): -0.0894 eV/atom
- Polymorph energy (0 for the lowest one): 0.00 eV/f.u.


3.
The following is a DFT calculation (PBE) of an optimized crystal structure of NaS2ClF.

a = 5.540 Å, b = 5.540 Å, c = 4.976 Å
α = 90.00°, β = 90.00°, γ = 90.00°
Fractional positions:
Na1 0.000 0.000 0.000
S1 0.000 0.500 0.000
S2 0.500 0.000 0.000
Cl1 0.000 0.000 0.500
F1 0.500 0.500 0.500

- ΔE_f (raw): 0.5284 eV/atom
- Polymorph energy (0 for the lowest one): 3.09 eV/f.u.


4.
The following is a DFT calculation (PBE) of an optimized crystal structure of NaSCl2F.

a = 5.604 Å, b = 5.604 Å, c = 3.664 Å
α = 90.00°, β = 90.00°, γ = 90.00°
Fractional positions:
Na1 0.000 0.000 0.000
S1 0.500 0.500 0.000
Cl1 0.000 0.500 0.500
Cl2 0.500 0.000 0.500
F1 0.500 0.500 0.500

- ΔE_f (raw): -0.3620 eV/atom
- Polymorph energy (0 for the lowest one): 0.00 eV/f.u.


5.
The following is a DFT calculation (PBE) of an optimized crystal structure of Na2SbClF.

a = 5.454 Å, b = 5.454 Å, c = 5.225 Å
α = 90.00°, β = 90.00°, γ = 90.00°
Fractional positions:
Na1 0.000 0.500 0.000
Na2 0.500 0.000 0.000
Sb1 0.000 0.000 0.500
Cl1 0.000 0.000 0.000
F1 0.500 0.500 0.500

- ΔE_f (raw): -0.6245 eV/atom


6.
The following is a DFT calculation (PBE) of an optimized crystal structure of Na2SbClF.

a = 4.853 Å, b = 4.853 Å, c = 6.038 Å
α = 90.00°, β = 90.00°, γ = 90.00°
Fractional positions:
Na1 0.000 0.500 0.000
Na2 0.500 0.000 0.000
Sb1 0.000 0.000 0.500
Cl1 0.500 0.500 0.000
F1 0.500 0.500 0.500

- ΔE_f (raw): -0.6243 eV/atom


7.
The following is a DFT calculation (PBE) of an optimized crystal structure of Na3SnCl2F6.

a = 7.210 Å, b = 7.210 Å, c = 5.542 Å
α = 92.82°, β = 92.82°, γ = 51.00°
Fractional positions:
Na1 0.000 0.000 0.000
Na2 0.000 0.500 0.500
Na3 0.500 0.000 0.500
Sn1 0.500 0.500 0.500
Cl1 0.215 0.215 0.915
Cl2 0.785 0.785 0.085
F1 0.218 0.685 0.716
F2 0.315 0.782 0.284
F3 0.354 0.354 0.358
F4 0.646 0.646 0.642
F5 0.685 0.218 0.716
F6 0.782 0.315 0.284

- ΔE_f (raw): -2.1741 eV/atom


8.
The following is a DFT calculation (PBE) of an optimized crystal structure of Na3TaCl2F6.

a = 7.773 Å, b = 7.773 Å, c = 4.891 Å
α = 90.13°, β = 90.13°, γ = 53.18°
Fractional positions:
Na1 0.000 0.000 0.000
Na2 0.000 0.500 0.500
Na3 0.500 0.000 0.500
Ta1 0.500 0.500 0.500
Cl1 0.186 0.186 0.139
Cl2 0.814 0.814 0.861
F1 0.260 0.660 0.253
F2 0.340 0.740 0.747
F3 0.370 0.370 0.641
F4 0.630 0.630 0.359
F5 0.660 0.260 0.253
F6 0.740 0.340 0.747

- ΔE_f (raw): -2.6847 eV/atom


9.
The following is a DFT calculation (PBE) of an optimized crystal structure of Na2TcCl2F4.

a = 6.232 Å, b = 6.232 Å, c = 6.286 Å
α = 119.71°, β = 119.71°, γ = 62.23°
Fractional positions:
Na1 0.234 0.234 0.123
Na2 0.766 0.766 0.877
Tc1 0.500 0.500 0.000
Cl1 0.257 0.257 0.598
Cl2 0.743 0.743 0.402
F1 0.205 0.632 0.117
F2 0.368 0.795 0.883
F3 0.632 0.205 0.117
F4 0.795 0.368 0.883

- ΔE_f (raw): -2.0343 eV/atom


10.
The following is a DFT calculation (PBE) of an optimized crystal structure of Na3TcCl2F6.

a = 7.655 Å, b = 7.655 Å, c = 4.760 Å
α = 91.04°, β = 91.04°, γ = 53.53°
Fractional positions:
Na1 0.000 0.000 0.000
Na2 0.000 0.500 0.500
Na3 0.500 0.000 0.500
Tc1 0.500 0.500 0.500
Cl1 0.188 0.188 0.880
Cl2 0.812 0.812 0.120
F1 0.254 0.658 0.741
F2 0.342 0.746 0.259
F3 0.369 0.369 0.341
F4 0.631 0.631 0.659
F5 0.658 0.254 0.741
F6 0.746 0.342 0.259

- ΔE_f (raw): -2.0737 eV/atom


11.
The following is a DFT calculation (PBE) of an optimized crystal structure of NaTl2ClF.

a = 5.667 Å, b = 5.667 Å, c = 6.379 Å
α = 90.00°, β = 90.00°, γ = 90.00°
Fractional positions:
Na1 0.000 0.000 0.000
Tl1 0.000 0.500 0.500
Tl2 0.500 0.000 0.500
Cl1 0.500 0.500 0.500
F1 0.500 0.500 0.000

- ΔE_f (raw): -0.5447 eV/atom


12.
The following is a DFT calculation (PBE) of an optimized crystal structure of Na2UCl3F3.

a = 7.151 Å, b = 7.151 Å, c = 3.684 Å
α = 90.00°, β = 90.00°, γ = 120.00°
Fractional positions:
Na1 0.333 0.667 0.000
Na2 0.667 0.333 0.000
U1 0.000 0.000 0.500
Cl1 0.000 0.605 0.500
Cl2 0.395 0.395 0.500
Cl3 0.605 0.000 0.500
F1 0.000 0.206 0.000
F2 0.206 0.000 0.000
F3 0.794 0.794 0.000

- ΔE_f (raw): -2.5087 eV/atom